Entry 1:
La2Y4Ho5 after structural relaxation. Source: Alexandria via LeMat-Bulk, functional PBE.

DOS(E_F) (states/eV/cell): 16.97
Symmetry: Immm
Excess energy over the best structure of this formula in the dataset (eV per formula unit): 0.69
Size of the total moment (Bohr magnetons per cell): 0.02

Cell and atoms, written as POSCAR:
```
La2Y4Ho5
1.0
3.501 0.000 0.000
0.000 9.096 0.000
-1.750 -4.548 11.727
La Y Ho
2 4 5
Cartesian
0.000 0.000 6.187 La
1.751 4.548 5.540 La
0.000 2.847 0.000 Y
1.751 4.548 2.349 Y
0.000 6.250 0.000 Y
0.000 0.000 9.378 Y
1.751 -2.835 8.506 Ho
1.751 2.835 8.506 Ho
0.000 1.713 3.221 Ho
0.000 7.383 3.221 Ho
1.750 0.000 0.000 Ho
```

=====

Entry 2:
LaY4Ho6 after structural relaxation. Source: Alexandria via LeMat-Bulk, functional PBE.

DOS(E_F) (states/eV/cell): 40.60
Symmetry: Cmcm
Excess energy over the best structure of this formula in the dataset (eV per formula unit): 0.00
Size of the total moment (Bohr magnetons per cell): 0.00

Cell and atoms, written as POSCAR:
```
LaY4Ho6
1.0
-2.514 -5.076 -0.665
2.497 1.329 4.875
-22.143 9.830 8.660
La Y Ho
2 8 12
Cartesian
-5.998 -0.856 4.744 La
-16.162 6.938 8.126 La
-12.409 1.966 7.433 Y
-1.493 0.025 5.449 Y
-9.751 4.116 5.437 Y
-20.667 6.057 7.421 Y
-21.640 6.064 11.043 Y
-0.520 0.018 1.827 Y
-14.981 3.533 5.198 Y
-7.179 2.549 7.672 Y
-1.257 -2.538 -0.333 Ho
-12.328 2.377 3.997 Ho
-6.698 2.773 4.150 Ho
-15.463 3.310 8.720 Ho
-18.541 4.676 9.924 Ho
-3.619 1.406 2.946 Ho
-9.299 0.610 6.033 Ho
-12.861 5.472 6.837 Ho
-19.462 8.403 9.419 Ho
-2.698 -2.320 3.451 Ho
-4.330 1.282 6.582 Ho
-17.830 4.801 6.288 Ho
```

=====

Entry 3:
La2Y6Ho3 after structural relaxation. Source: Alexandria via LeMat-Bulk, functional PBE.

DOS(E_F) (states/eV/cell): 19.10
Symmetry: C2/m
Excess energy over the best structure of this formula in the dataset (eV per formula unit): 0.00
Size of the total moment (Bohr magnetons per cell): 0.00

Cell and atoms, written as POSCAR:
```
La2Y6Ho3
1.0
-3.588 4.917 0.826
-2.624 2.736 -4.840
-10.488 -5.311 1.377
La Y Ho
2 6 3
Cartesian
-7.591 -0.012 -2.395 La
-9.110 2.354 -0.241 La
-11.163 -0.147 -1.845 Y
-10.607 -0.334 1.659 Y
-9.092 -2.698 -0.503 Y
-3.469 -0.060 0.545 Y
-5.537 2.489 -0.791 Y
-7.609 5.040 -2.133 Y
0.000 0.000 0.000 Ho
-2.068 2.550 -1.321 Ho
-4.144 5.103 -2.692 Ho
```

=====

Entry 4:
La5Y12Ho3 after structural relaxation. Source: Alexandria via LeMat-Bulk, functional PBE.

DOS(E_F) (states/eV/cell): 164.26
Symmetry: Ia-3d
Size of the total moment (Bohr magnetons per cell): 0.07

Cell and atoms, written as POSCAR:
```
La5Y12Ho3
1.0
-6.521 -12.574 7.710
-2.663 -1.437 -15.840
15.883 0.356 2.770
Ho La Y
12 20 48
Cartesian
-3.904 -9.925 0.189 Ho
-5.718 -12.035 -4.788 Ho
5.484 -5.571 -7.258 Ho
3.993 -3.190 0.986 Ho
-2.068 -11.093 5.459 Ho
-0.139 -5.524 -6.316 Ho
6.838 -8.131 0.956 Ho
8.767 -2.562 -10.819 Ho
2.706 -10.465 -6.346 Ho
1.215 -8.085 1.897 Ho
12.417 -1.620 -0.572 Ho
10.603 -3.730 -5.549 Ho
2.157 -2.022 -4.284 La
-1.332 -0.719 -7.920 La
0.000 0.000 0.000 La
-1.126 -5.030 -0.723 La
4.681 -6.109 5.240 La
-4.592 -7.005 -4.065 La
3.144 -2.516 -9.878 La
8.674 -9.299 6.226 La
-0.599 -10.195 -3.079 La
9.134 -4.628 2.989 La
-2.435 -9.027 -8.349 La
3.349 -6.828 -2.680 La
-3.261 -6.287 3.855 La
7.941 0.178 1.385 La
7.298 -3.460 -2.281 La
-1.975 -4.356 -11.586 La
6.610 -0.541 -6.535 La
3.555 -11.139 4.517 La
7.825 -8.625 -4.638 La
4.542 -11.633 -1.076 La
-3.993 -9.337 3.543 Y
3.042 -4.987 -5.220 Y
-2.688 -12.089 2.260 Y
-2.060 -7.464 1.189 Y
4.675 -8.168 -5.206 Y
-5.089 -12.439 -1.464 Y
2.298 -5.279 -8.428 Y
-0.629 -2.165 -13.545 Y
4.229 -8.289 -8.479 Y
-3.819 -9.942 -3.217 Y
-0.508 -10.193 0.153 Y
-6.835 -11.913 -8.004 Y
6.205 -2.645 -8.847 Y
-2.118 -5.071 -3.799 Y
2.640 -2.275 -13.062 Y
5.992 -5.221 2.514 Y
2.654 -1.212 -1.194 Y
-3.404 -6.305 -6.900 Y
-3.620 -11.823 -7.239 Y
-0.901 -2.373 -5.271 Y
7.459 -5.545 -9.818 Y
1.151 -7.965 -4.632 Y
0.779 -12.681 -4.619 Y
8.586 -9.872 3.046 Y
5.548 -5.690 -0.728 Y
5.920 -0.974 -0.742 Y
-1.888 -3.783 -8.406 Y
10.319 -1.832 1.879 Y
-0.761 -8.110 4.458 Y
7.600 -11.283 -0.089 Y
10.103 -7.351 1.539 Y
0.707 -8.434 -7.874 Y
4.045 -12.443 -4.166 Y
4.059 -11.380 7.702 Y
0.494 -11.010 3.487 Y
13.533 -1.742 2.644 Y
8.816 -8.584 -1.561 Y
2.470 -5.366 3.119 Y
10.518 -3.714 -2.143 Y
7.207 -3.462 -5.513 Y
7.327 -11.490 8.185 Y
4.401 -8.376 3.068 Y
8.758 -6.191 -6.549 Y
11.788 -1.216 -3.896 Y
2.024 -5.487 -0.154 Y
9.386 -1.566 -7.620 Y
3.657 -8.669 -0.140 Y
10.692 -4.318 -8.903 Y
```

=====

Entry 5:
La4YHo5 after structural relaxation. Source: Alexandria via LeMat-Bulk, functional PBE.

DOS(E_F) (states/eV/cell): 14.70
Symmetry: C2/m
Excess energy over the best structure of this formula in the dataset (eV per formula unit): 0.00
Size of the total moment (Bohr magnetons per cell): 0.00

Cell and atoms, written as POSCAR:
```
La4YHo5
1.0
3.453 0.000 -0.789
-0.053 11.478 -0.232
0.188 0.147 8.769
La Y Ho
4 1 5
Cartesian
2.337 2.916 2.276 La
0.089 8.603 0.391 La
1.251 8.709 5.471 La
3.498 3.022 7.356 La
1.727 0.000 -0.395 Y
0.613 10.968 2.680 Ho
0.632 6.331 2.764 Ho
2.956 5.294 4.983 Ho
1.700 5.739 -0.511 Ho
2.975 0.657 5.067 Ho
```

=====

Entry 6:
LaY6Ho5 after structural relaxation. Source: Alexandria via LeMat-Bulk, functional PBE.

DOS(E_F) (states/eV/cell): 17.18
Symmetry: C2/m
Excess energy over the best structure of this formula in the dataset (eV per formula unit): 0.00
Size of the total moment (Bohr magnetons per cell): 0.00

Cell and atoms, written as POSCAR:
```
LaY6Ho5
1.0
11.724 -1.567 0.000
1.869 5.890 0.000
0.934 2.945 5.348
La Y Ho
1 6 5
Cartesian
0.000 0.000 0.000 La
9.233 0.312 1.790 Y
4.360 4.011 1.790 Y
3.429 1.078 0.000 Y
10.164 3.245 0.000 Y
10.167 3.257 3.558 Y
5.295 6.957 3.558 Y
6.796 2.162 3.562 Ho
0.934 2.945 1.783 Ho
6.796 2.162 0.000 Ho
1.869 5.890 3.565 Ho
7.731 5.107 1.787 Ho
```

=====

| no. | E_tot (eV per atom) |
| --- | --- |
| 1 | -5.11 |
| 2 | -5.17 |
| 3 | -5.49 |
| 4 | -4.80 |
| 5 | -4.71 |
| 6 | -5.53 |